No. 1
Below is HoPRh3 after structural relaxation, with properties calculated at the PBE level.

Properties
E_form in eV/atom: -0.700
Space-group type: No. 221
ΔE to the lowest computed polymorph in kJ/mol of atoms: 19.9
Magnetic moment in μB per cell: 0.00
Total DFT energy (no corrections) in eV/atom: -7.109

a b c (Å): 4.4432 4.4432 4.4432
angles (deg): 90.00 90.00 90.00
With the nearest neighbours (Å) after each atom.
Sites, in units of the cell vectors:
Ho  0.0000  0.0000  0.0000  12 Rh 3.14
P  0.5000  0.5000  0.5000  6 Rh 2.22
Rh  0.0000  0.5000  0.5000  2 P 2.22
Rh  0.5000  0.0000  0.5000  2 P 2.22
Rh  0.5000  0.5000  0.0000  2 P 2.22



No. 2
Below is Np4PbSe8 after structural relaxation, with properties calculated at the PBE level.

Properties
Space-group type: No. 12
Magnetic moment in μB per cell: 14.00
Formation energy without anion corrections in eV per atom: -1.00
Total DFT energy (no corrections) in eV/atom: -7.415

a b c (Å): 8.3160 8.3160 10.0946
angles (deg): 127.20 127.20 60.36
With the nearest neighbours (Å) after each atom.
Sites, in units of the cell vectors:
Np  0.2322  0.2322  0.4962  6 Se 2.81-2.90
Np  0.2452  0.7548  0.0000  6 Se 2.83-2.87
Np  0.7548  0.2452  0.0000  6 Se 2.83-2.87
Np  0.7678  0.7678  0.5038  6 Se 2.81-2.90
Pb  0.5000  0.5000  0.5000  6 Se 3.11-3.13
Se  0.0311  0.0311  0.8403  3 Np 2.81-2.83
Se  0.0369  0.5095  0.3309  3 Np 2.85-2.90, 1 Pb 3.11
Se  0.4905  0.9631  0.6691  3 Np 2.85-2.90, 1 Pb 3.11
Se  0.4905  0.4905  0.1811  3 Np 2.87-2.89, 1 Pb 3.13
Se  0.5095  0.5095  0.8189  3 Np 2.87-2.89, 1 Pb 3.13
Se  0.5095  0.0369  0.3309  3 Np 2.85-2.90, 1 Pb 3.11
Se  0.9631  0.4905  0.6691  3 Np 2.85-2.90, 1 Pb 3.11
Se  0.9689  0.9689  0.1597  3 Np 2.81-2.83



magnetic moment of number 2 (Np4PbSe8)? 14.00 μB per cell